Record 1
# ZrAsRu3 | Alexandria via LeMat-Bulk | PBE | relaxed
data_ZrAsRu3
_chemical_formula_sum 'Zr1 As1 Ru3'
_cell_length_a 4.8001
_cell_length_b 4.8001
_cell_length_c 4.8001
_cell_angle_alpha 90.00
_cell_angle_beta 90.00
_cell_angle_gamma 90.00
_symmetry_space_group_name_H-M 'P m -3 m'
_symmetry_Int_Tables_number 221
_symmetry_space_group_name_Hall '-P 4 2 3'
loop_
_atom_site_label
_atom_site_type_symbol
_atom_site_fract_x
_atom_site_fract_y
_atom_site_fract_z
_atom_site_occupancy
Zr1 Zr 0.0000 0.0000 0.0000 1
As1 As 0.5000 0.5000 0.5000 1
Ru1 Ru 0.0000 0.0000 0.5000 1
# DFT total energy = -0.23877 hartree per atom
# distance to the lowest polymorph of the same formula = 1.403 eV per atom
# ΔH_f (0 K) = 8.54 eV per formula unit



Record 2
# CdTcB2 | Alexandria via LeMat-Bulk | PBE | relaxed
data_CdTcB2
_chemical_formula_sum 'Cd4 Tc4 B8'
_cell_length_a 5.1668
_cell_length_b 5.1668
_cell_length_c 9.7020
_cell_angle_alpha 90.00
_cell_angle_beta 90.00
_cell_angle_gamma 90.00
_symmetry_space_group_name_H-M 'I -4 2 d'
_symmetry_Int_Tables_number 122
_symmetry_space_group_name_Hall 'I -4 2bw'
loop_
_atom_site_label
_atom_site_type_symbol
_atom_site_fract_x
_atom_site_fract_y
_atom_site_fract_z
_atom_site_occupancy
Cd1 Cd 0.0000 0.0000 0.0000 1
Tc1 Tc 0.0000 0.0000 0.5000 1
B1 B 0.1813 0.2500 0.6250 1
# DFT total energy = -0.19521 hartree per atom
# ΔH_f (0 K) = 3.39 eV per formula unit



Q: Which of these has the highest ΔH_f (0 K)?
A: ZrAsRu3



Q: Number 1 is which compound?
A: ZrAsRu3



Q: Look up the DFT total energy of the second one.
A: -0.19521 hartree per atom